Na2AsP2Pd5 (PBE, optimized geometry); energy relative to the elements = -0.434 eV per atom; electronic total energy = -96.820 eV per cell; DOS(E_F) = 9.4 states/eV/cell; total magnetic moment = 0.000 μB per atom; symmetry = P4/mbm (127)
1.0
3.068 0.000 0.000
0.000 10.451 0.000
0.000 0.000 10.451
Pd As Na P
10 2 4 4
Direct
0.500 0.205 0.063
0.500 0.063 0.795
0.500 0.295 0.563
0.500 0.500 0.000
0.500 0.705 0.437
0.500 0.795 0.937
0.500 0.437 0.295
0.500 0.563 0.705
0.500 0.937 0.205
0.500 0.000 0.500
0.000 0.000 0.000
0.000 0.500 0.500
0.000 0.175 0.325
0.000 0.325 0.825
0.000 0.675 0.175
0.000 0.825 0.675
0.000 0.870 0.370
0.000 0.370 0.130
0.000 0.630 0.870
0.000 0.130 0.630